# Ba2CrPt

A PBEsol-optimized structure of Ba2CrPt (meta-GGA SCAN, the Alexandria database).

- relative energy among the computed polymorphs (meV per atom) = 262
- total moment (μB/atom) = 1.330
- energy of formation (meV/atom) = 55

Unit cell a=7.485 b=7.485 c=7.485 alpha=90.00 beta=90.00 gamma=90.00
Space group F-43m (No. 216)
Inequivalent atoms, fractional coordinates:
Ba 0.000 0.000 0.000
Ba 0.250 0.250 0.250
Cr 0.250 0.250 0.750
Pt 0.000 0.000 0.500